Record 1
# SCAN Ca2CoAu, PBEsol geometry
data_Ca2CoAu
_symmetry_space_group_name_H-M 'I -4 m 2'
_symmetry_Int_Tables_number 119
_symmetry_space_group_name_Hall 'I -4 -2'
_cell_length_a 4.1573
_cell_length_b 4.1573
_cell_length_c 9.4532
_cell_angle_alpha 90.00
_cell_angle_beta 90.00
_cell_angle_gamma 90.00
loop_
_atom_site_label
_atom_site_fract_x
_atom_site_fract_y
_atom_site_fract_z
_atom_site_occupancy
Ca1 0.0000 0.0000 0.0000 1
Ca2 0.0000 0.5000 0.2500 1
Co1 0.0000 0.5000 0.7500 1
Au1 0.0000 0.0000 0.5000 1
# Energy relative to the elements in meV/atom: -149
# Total magnetization in μB per atom: 0.4217

Record 2
# SCAN CaCo3Au, PBEsol geometry
data_CaCo3Au
_symmetry_space_group_name_H-M 'P m -3 m'
_symmetry_Int_Tables_number 221
_symmetry_space_group_name_Hall '-P 4 2 3'
_cell_length_a 4.3053
_cell_length_b 4.3053
_cell_length_c 4.3053
_cell_angle_alpha 90.00
_cell_angle_beta 90.00
_cell_angle_gamma 90.00
loop_
_atom_site_label
_atom_site_fract_x
_atom_site_fract_y
_atom_site_fract_z
_atom_site_occupancy
Ca1 0.0000 0.0000 0.0000 1
Co1 0.0000 0.0000 0.5000 1
Au1 0.5000 0.5000 0.5000 1
# Energy relative to the elements in meV/atom: 1858
# Total magnetization in μB per atom: 0.8471

Record 3
# SCAN Ca2CoAu, PBEsol geometry
data_Ca2CoAu
_symmetry_space_group_name_H-M 'F -4 3 m'
_symmetry_Int_Tables_number 216
_symmetry_space_group_name_Hall 'F -4 2 3'
_cell_length_a 6.7800
_cell_length_b 6.7800
_cell_length_c 6.7800
_cell_angle_alpha 90.00
_cell_angle_beta 90.00
_cell_angle_gamma 90.00
loop_
_atom_site_label
_atom_site_fract_x
_atom_site_fract_y
_atom_site_fract_z
_atom_site_occupancy
Ca1 0.0000 0.0000 0.0000 1
Ca2 0.2500 0.2500 0.2500 1
Co1 0.2500 0.2500 0.7500 1
Au1 0.0000 0.0000 0.5000 1
# Energy relative to the elements in meV/atom: -68
# Total magnetization in μB per atom: 0.4498

Record 4
# SCAN Ca2HfCoAu, PBEsol geometry
data_Ca2HfCoAu
_symmetry_space_group_name_H-M 'P 4/m m m'
_symmetry_Int_Tables_number 123
_symmetry_space_group_name_Hall '-P 4 2'
_cell_length_a 5.8030
_cell_length_b 5.8030
_cell_length_c 4.2305
_cell_angle_alpha 90.00
_cell_angle_beta 90.00
_cell_angle_gamma 90.00
loop_
_atom_site_label
_atom_site_fract_x
_atom_site_fract_y
_atom_site_fract_z
_atom_site_occupancy
Ca1 0.0000 0.5000 0.0000 1
Hf1 0.0000 0.0000 0.0000 1
Co1 0.0000 0.0000 0.5000 1
Au1 0.5000 0.5000 0.5000 1
# Energy relative to the elements in meV/atom: 921
# Total magnetization in μB per atom: 0.0001